# ScCoTcSe2

An optimized crystal structure of ScCoTcSe2 (PBE-GGA, Alexandria via LeMat-Bulk).

Formation energy without anion corrections (kJ per mole of atoms): 58.5

a b c (Å): 4.818 4.818 4.910
angles (deg): 90.00 90.00 90.00
Space group P4/mmm (No. 123)
Unique sites:
Sc 0.000 0.000 0.000
Co 0.500 0.500 0.000
Tc 0.000 0.000 0.500
Se 0.000 0.500 0.500



# Ag3NCl

An optimized crystal structure of Ag3NCl (PBE-GGA, Alexandria via LeMat-Bulk).

Formation energy without anion corrections (kJ per mole of atoms): 47.1
E above lowest polymorph (meV/atom): 0

a b c (Å): 4.445 4.445 4.445
angles (deg): 90.00 90.00 90.00
Space group Pm-3m (No. 221)
Unique sites:
Ag 0.000 0.000 0.500
N 0.000 0.000 0.000
Cl 0.500 0.500 0.500



# AlGa3Ir4

An optimized crystal structure of AlGa3Ir4 (PBE-GGA, Alexandria via LeMat-Bulk).

Formation energy (meV per atom): -528

a b c (Å): 2.975 2.975 12.843
angles (deg): 90.00 90.00 90.00
Space group P4/mmm (No. 123)
Unique sites:
Al 0.000 0.000 0.000
Ga 0.000 0.000 0.248
Ga 0.000 0.000 0.500
Ir 0.500 0.500 0.121
Ir 0.500 0.500 0.372



# Sc6SbTe3As2

An optimized crystal structure of Sc6SbTe3As2 (PBE-GGA, Alexandria via LeMat-Bulk).

Formation energy without anion corrections (kJ per mole of atoms): -118.2

a b c (Å): 17.860 4.043 8.204
angles (deg): 90.00 104.08 90.00
Space group C2/m (No. 12)
Unique sites:
Sc 0.013 0.000 0.252
Sc 0.169 0.500 0.116
Sc 0.176 0.500 0.567
Sb 0.000 0.500 0.000
Te 0.000 0.500 0.500
Te 0.163 0.000 0.834
As 0.168 0.000 0.338



# Tl3Cd

An optimized crystal structure of Tl3Cd (PBE-GGA, Alexandria via LeMat-Bulk).

Formation energy (meV per atom): 46

a b c (Å): 5.823 6.565 6.132
angles (deg): 90.00 90.00 90.00
Space group Pmmn (No. 59, origin choice 2)
Unique sites:
Tl 0.250 0.000 0.151
Tl 0.250 0.250 0.643
Cd 0.250 0.750 0.656



# Ac2FeOs

An optimized crystal structure of Ac2FeOs (PBE-GGA, Alexandria via LeMat-Bulk).

Formation energy (meV per atom): -12

a b c (Å): 7.364 4.252 8.191
angles (deg): 90.00 107.57 90.00
Space group Cm (No. 8)
Unique sites:
Ac 0.000 0.000 0.000
Ac 0.174 0.000 0.517
Fe 0.420 0.000 0.258
Os 0.254 0.500 0.260



no.,calculated volume (Å³ per atom)
1,22.79
2,17.57
3,14.21
4,23.94
5,29.30
6,30.56